NaLiPr2Tl4: optimized geometry, PBE.

Crystal system = trigonal
Size of the total moment = 0.00 μB/cell
ΔE_f = -0.303 eV per atom

Lattice parameters (Å, degrees): 5.396 5.396 9.300 73.14 73.14 60.00
Atoms (fractional coordinates):
1 Na 0.000 0.000 0.000
2 Li 0.500 0.500 0.500
3 Pr 0.750 0.750 0.750
4 Pr 0.250 0.250 0.250
5 Tl 0.377 0.377 0.868
6 Tl 0.874 0.874 0.378
7 Tl 0.126 0.126 0.622
8 Tl 0.623 0.623 0.132

---

Ni4Ag5: optimized geometry, PBE.

Crystal system = tetragonal
ΔE to the lowest computed polymorph = 0.0 meV per atom
Size of the total moment = 1.85 μB/cell
ΔE_f = 0.230 eV per atom

Lattice parameters (Å, degrees): 6.195 6.195 6.195 95.62 95.62 143.53
Last column: magnetic moment on the atom in μB.
Atoms (fractional coordinates):
1 Ni 0.000 0.358 0.358  0.49
2 Ni 0.000 0.642 0.642  0.49
3 Ni 0.358 0.000 0.358  0.49
4 Ni 0.642 0.000 0.642  0.49
5 Ag 0.000 0.000 0.000  0.00
6 Ag 0.330 0.330 0.660  0.00
7 Ag 0.330 0.670 0.000  0.00
8 Ag 0.670 0.330 0.000  0.00
9 Ag 0.670 0.670 0.340  0.00

---

VFeCu2: optimized geometry, PBE.

Crystal system = cubic
ΔE to the lowest computed polymorph = 0.0 meV per atom
Size of the total moment = 1.64 μB/cell
ΔE_f = 0.269 eV per atom

Lattice parameters (Å, degrees): 4.133 4.133 4.133 60.00 60.00 60.00
Last column: magnetic moment on the atom in μB.
Atoms (fractional coordinates):
1 Fe 0.500 0.500 0.500  2.59
2 Cu 0.250 0.250 0.250  0.00
3 Cu 0.750 0.750 0.750  0.00
4 V 0.000 0.000 0.000  -0.86

---

LiH5Pd3: optimized geometry, PBE.

Crystal system = monoclinic
Size of the total moment = 0.00 μB/cell
E_tot = -3.968 eV per atom

Lattice parameters (Å, degrees): 4.816 4.816 9.847 58.53 58.53 63.84
Atoms (fractional coordinates):
1 Li 0.236 0.236 0.638
2 Li 0.764 0.764 0.362
3 H 0.834 0.289 0.328
4 H 0.337 0.663 0.000
5 H 0.759 0.759 0.041
6 H 0.256 0.256 0.427
7 H 0.744 0.744 0.573
8 H 0.241 0.241 0.959
9 H 0.289 0.834 0.328
10 H 0.663 0.337 0.000
11 H 0.166 0.711 0.672
12 H 0.711 0.166 0.672
13 Pd 0.752 0.752 0.860
14 Pd 0.513 0.513 0.244
15 Pd 0.000 0.000 0.000
16 Pd 0.000 0.000 0.500
17 Pd 0.248 0.248 0.140
18 Pd 0.487 0.487 0.756

---

Ti2NbHg: optimized geometry, PBE.

Crystal system = tetragonal
Size of the total moment = 0.00 μB/cell
ΔE_f = -0.010 eV per atom

Lattice parameters (Å, degrees): 3.668 4.405 4.405 90.00 90.00 90.00
Atoms (fractional coordinates):
1 Nb 0.500 0.000 0.000
2 Hg 0.500 0.500 0.500
3 Ti 0.000 0.000 0.500
4 Ti 0.000 0.500 0.000

---

CaTcAu: optimized geometry, PBE.

Crystal system = trigonal
ΔE to the lowest computed polymorph = 222.0 meV per atom
Size of the total moment = 0.00 μB/cell
ΔE_f = 0.533 eV per atom

Lattice parameters (Å, degrees): 2.997 2.997 7.371 90.00 90.00 120.00
Atoms (fractional coordinates):
1 Ca 0.667 0.333 0.338
2 Au 0.000 0.000 0.987
3 Tc 0.333 0.667 0.675

---

TbTl3Pd12: optimized geometry, PBE.

Crystal system = tetragonal
Size of the total moment = 0.00 μB/cell
ΔE_f = -0.359 eV per atom

Lattice parameters (Å, degrees): 4.090 4.090 16.470 90.00 90.00 90.00
Atoms (fractional coordinates):
1 Tb 0.000 0.000 0.000
2 Tl 0.000 0.000 0.253
3 Tl 0.000 0.000 0.500
4 Tl 0.000 0.000 0.747
5 Pd 0.500 0.500 0.000
6 Pd 0.500 0.500 0.250
7 Pd 0.500 0.500 0.500
8 Pd 0.500 0.500 0.750
9 Pd 0.500 0.000 0.127
10 Pd 0.500 0.000 0.376
11 Pd 0.500 0.000 0.624
12 Pd 0.500 0.000 0.873
13 Pd 0.000 0.500 0.127
14 Pd 0.000 0.500 0.376
15 Pd 0.000 0.500 0.624
16 Pd 0.000 0.500 0.873

---

ZrCl: optimized geometry, PBE.

Crystal system = monoclinic
Size of the total moment = 0.00 μB/cell
E_tot = -5.854 eV per atom

Lattice parameters (Å, degrees): 5.228 5.228 8.800 59.71 59.71 35.72
Atoms (fractional coordinates):
1 Zr 0.671 0.671 0.655
2 Zr 0.083 0.083 0.398
3 Zr 0.676 0.676 0.071
4 Cl 0.995 0.995 0.953
5 Cl 0.366 0.366 0.367
6 Cl 0.375 0.375 0.723

---

Number 1: volume 220.96 Å³/f.u.. Number 2: volume 134.25 Å³/f.u.. Number 3: volume 49.92 Å³/f.u.. Number 4: volume 80.83 Å³/f.u.. Number 5: volume 71.16 Å³/f.u.. Number 6: volume 57.33 Å³/f.u.. Number 7: volume 275.52 Å³/f.u.. Number 8: volume 39.70 Å³/f.u..